CaPaHgPt | PBE | optimized geometry

abc: 7.232 7.232 7.232
angles: 90.00 90.00 90.00
Space group F-43m (No. 216)
Asymmetric unit:
Ca 0.000 0.000 0.000 x4
Pa 0.000 0.000 0.500 x4
Hg 0.250 0.250 0.750 x4
Pt 0.250 0.250 0.250 x4

Computed properties:
Final energy (eV/atom): -4.85
Energy of formation from the pure elements (eV per atom): -0.3899

---

UInRh6 | PBE | optimized geometry

abc: 5.640 5.640 3.997
angles: 90.00 90.00 90.00
Space group P4/mmm (No. 123)
Asymmetric unit:
U 0.000 0.000 0.000 x1
In 0.500 0.500 0.000 x1
Rh 0.000 0.500 0.000 x2
Rh 0.245 0.245 0.500 x4

Computed properties:
Final energy (eV/atom): -7.73
Energy of formation from the pure elements (eV per atom): -0.4602